Material: CoCuP2O
Method: DFT, GGA+U
State: relaxed

abc: 4.6447 4.6447 3.4966
angles: 90.00 90.00 90.00
Last column: magnetic moment on the atom in μB.
Fractional positions:
P 0.5000 0.0000 0.0000  0.00
P 0.0000 0.5000 0.0000  0.00
O 0.0000 0.0000 0.5000  0.15
Cu 0.0000 0.0000 0.0000  0.02
Co 0.5000 0.5000 0.5000  2.24

Results
Energy above the lowest structure with this stoichiometry ... 41.7 kJ per mole of atoms
Total moment ... 2.4 μB per cell
Fermi-level density of states ... 6.23 states/eV/cell
V ... 75.4 Å³ per cell